## CuSbAs2Au (PBE)

Data for CuSbAs2Au after structural relaxation.

Summary:
Formation energy without anion corrections ... 493 meV per atom

Cell: 4.715 4.715 4.922 Å, 90.00 90.00 90.00°
Space group P4/mmm (No. 123)
Inequivalent atoms, fractional coordinates:
Cu  0.000  0.000  0.000 (multiplicity 1)
Sb  0.500  0.500  0.500 (multiplicity 1)
As  0.000  0.500  0.000 (multiplicity 2)
Au  0.000  0.000  0.500 (multiplicity 1)

## V2CuBiCl (PBE)

Data for V2CuBiCl after structural relaxation.

Summary:
Formation energy without anion corrections ... 1340 meV per atom

Cell: 5.383 5.383 5.389 Å, 90.00 90.00 90.00°
Space group P4/mmm (No. 123)
Inequivalent atoms, fractional coordinates:
V  0.000  0.500  0.000 (multiplicity 2)
Cu  0.000  0.000  0.500 (multiplicity 1)
Bi  0.500  0.500  0.000 (multiplicity 1)
Cl  0.500  0.500  0.500 (multiplicity 1)

## SrMgScIn (PBE)

Data for SrMgScIn after structural relaxation.

Summary:
Energy of formation from the pure elements ... -0.167 eV per atom

Cell: 7.635 7.635 7.635 Å, 90.00 90.00 90.00°
Space group F-43m (No. 216)
Inequivalent atoms, fractional coordinates:
Sr  0.000  0.000  0.000 (multiplicity 4)
Mg  0.250  0.250  0.750 (multiplicity 4)
Sc  0.000  0.000  0.500 (multiplicity 4)
In  0.250  0.250  0.250 (multiplicity 4)

## Ga2SeF (PBE)

Data for Ga2SeF after structural relaxation.

Summary:
Distance to the lowest polymorph of the same formula ... 56 meV/atom
Formation energy without anion corrections ... -739 meV per atom

Cell: 6.616 6.616 6.616 Å, 90.00 90.00 90.00°
Space group Fm-3m (No. 225)
Inequivalent atoms, fractional coordinates:
Ga  0.250  0.250  0.250 (multiplicity 8)
Se  0.000  0.000  0.000 (multiplicity 4)
F  0.000  0.000  0.500 (multiplicity 4)

## YZrBr2 (PBE)

Data for YZrBr2 after structural relaxation.

Summary:
Distance to the lowest polymorph of the same formula ... 457 meV/atom
Formation energy without anion corrections ... -603 meV per atom

Cell: 3.365 6.271 9.615 Å, 90.00 90.00 90.00°
Space group Immm (No. 71)
Inequivalent atoms, fractional coordinates:
Y  0.000  0.000  0.000 (multiplicity 2)
Zr  0.000  0.000  0.500 (multiplicity 2)
Br  0.000  0.500  0.238 (multiplicity 4)

## Tl2POs (PBE)

Data for Tl2POs after structural relaxation.

Summary:
Distance to the lowest polymorph of the same formula ... 898 meV/atom
Energy of formation from the pure elements ... 1.056 eV per atom

Cell: 10.079 3.394 4.666 Å, 90.00 93.57 90.00°
Space group C2/m (No. 12)
Inequivalent atoms, fractional coordinates:
Tl  0.233  0.000  0.243 (multiplicity 4)
P  0.000  0.000  0.500 (multiplicity 2)
Os  0.000  0.500  0.000 (multiplicity 2)

## In2HgPd8 (PBE)

Data for In2HgPd8 after structural relaxation.

Summary:
Distance to the lowest polymorph of the same formula ... 0 meV/atom
Energy of formation from the pure elements ... -0.329 eV per atom

Cell: 14.389 4.145 6.451 Å, 90.00 107.10 90.00°
Space group C2/m (No. 12)
Inequivalent atoms, fractional coordinates:
In  0.221  0.000  0.159 (multiplicity 4)
Hg  0.000  0.500  0.500 (multiplicity 2)
Pd  0.040  0.000  0.223 (multiplicity 4)
Pd  0.095  0.500  0.961 (multiplicity 4)
Pd  0.144  0.000  0.697 (multiplicity 4)
Pd  0.178  0.500  0.412 (multiplicity 4)

## NaCdSn (PBE)

Data for NaCdSn after structural relaxation.

Summary:
Distance to the lowest polymorph of the same formula ... 99 meV/atom
Energy of formation from the pure elements ... -0.076 eV per atom

Cell: 6.963 6.963 6.963 Å, 90.00 90.00 90.00°
Space group F-43m (No. 216)
Inequivalent atoms, fractional coordinates:
Na  0.000  0.000  0.000 (multiplicity 4)
Cd  0.250  0.250  0.250 (multiplicity 4)
Sn  0.000  0.000  0.500 (multiplicity 4)

## La4Tb3DySe8 (PBE)

Data for La4Tb3DySe8 after structural relaxation.

Summary:
Formation energy without anion corrections ... -1888 meV per atom

Cell: 8.3588 8.3588 20.8067 Å, 90.00 90.00 120.00°
Space group R-3m (No. 166, hexagonal axes)
Inequivalent atoms, fractional coordinates:
La  0.0000  0.0000  0.0000 (multiplicity 3)
La  0.0000  0.5000  0.0000 (multiplicity 9)
Tb  0.0000  0.5000  0.5000 (multiplicity 9)
Dy  0.0000  0.0000  0.5000 (multiplicity 3)
Se  0.0000  0.0000  0.2442 (multiplicity 6)
Se  0.0012  0.5006  0.2439 (multiplicity 18)

## Nd3Te2Pb (PBE)

Data for Nd3Te2Pb after structural relaxation.

Summary:
Formation energy without anion corrections ... -1192 meV per atom

Cell: 4.557 6.404 13.559 Å, 90.00 90.00 90.00°
Space group Immm (No. 71)
Inequivalent atoms, fractional coordinates:
Nd  0.000  0.000  0.000 (multiplicity 2)
Nd  0.000  0.000  0.337 (multiplicity 4)
Te  0.000  0.500  0.333 (multiplicity 4)
Pb  0.000  0.500  0.000 (multiplicity 2)

## TlAsAu3 (PBE)

Data for TlAsAu3 after structural relaxation.

Summary:
Distance to the lowest polymorph of the same formula ... 0 meV/atom
Energy of formation from the pure elements ... 0.022 eV per atom

Cell: 4.690 4.690 10.480 Å, 90.00 90.00 90.00°
Space group I4mm (No. 107)
Inequivalent atoms, fractional coordinates:
Tl  0.000  0.000  0.000 (multiplicity 2)
As  0.000  0.000  0.646 (multiplicity 2)
Au  0.000  0.000  0.405 (multiplicity 2)
Au  0.000  0.500  0.246 (multiplicity 4)

## TlBiI2Cl (PBE)

Data for TlBiI2Cl after structural relaxation.

Summary:
Formation energy without anion corrections ... -474 meV per atom

Cell: 6.304 6.304 5.563 Å, 90.00 90.00 90.00°
Space group P4/mmm (No. 123)
Inequivalent atoms, fractional coordinates:
Tl  0.000  0.000  0.000 (multiplicity 1)
Bi  0.500  0.500  0.500 (multiplicity 1)
I  0.000  0.500  0.500 (multiplicity 2)
Cl  0.500  0.500  0.000 (multiplicity 1)

Number 1: DFT total energy -3.67 eV per atom. Number 2: DFT total energy -4.27 eV per atom. Number 3: DFT total energy -3.25 eV per atom. Number 4: DFT total energy -3.59 eV per atom. Number 5: DFT total energy -5.19 eV per atom. Number 6: DFT total energy -4.29 eV per atom. Number 7: DFT total energy -4.63 eV per atom. Number 8: DFT total energy -2.16 eV per atom. Number 9: DFT total energy -6.02 eV per atom. Number 10: DFT total energy -5.24 eV per atom. Number 11: DFT total energy -3.35 eV per atom. Number 12: DFT total energy -2.71 eV per atom.